# 1
Material: Sc3CdC
Method: DFT, PBE
State: optimized geometry

Geometry as POSCAR:
```
Sc3CdC
1.0
5.1762 0.0000 0.0000
0.0000 5.1762 0.0000
0.0000 0.0000 5.1762
Sc Cd C
3 1 1
Cartesian
0.0000 0.0000 2.5881
0.0000 2.5881 0.0000
2.5881 0.0000 0.0000
0.0000 0.0000 0.0000
2.5881 2.5881 2.5881
```

## Properties
* symmetry: Pm-3m
* M_tot: 0.000 μB/f.u.
* uncorrected energy: -4.1625 eV per atom
* excess energy over the best structure of this formula in the dataset: 2128 meV per atom
* ΔE_f: 1.66 eV per atom

# 2
Material: Pm2C2Cl
Method: DFT, PBE
State: optimized geometry

Geometry as POSCAR:
```
Pm2C2Cl
1.0
7.3882 -2.0544 0.0000
7.3882 2.0544 0.0000
-1.4489 0.0000 6.4909
Pm C Cl
4 4 2
Cartesian
3.9175 1.2754 5.5129
8.6855 1.2754 4.2235
4.6420 -1.2754 2.2674
9.4100 -1.2754 0.9781
3.4391 0.5602 3.0748
2.7147 -0.5602 6.3202
10.6128 0.5602 0.1707
9.8883 -0.5602 3.4162
7.0260 0.9863 1.6227
6.3015 -0.9863 4.8682
```

## Properties
* symmetry: C2/c
* M_tot: 0.000 μB/f.u.
* uncorrected energy: -6.8294 eV per atom
* ΔE_f (raw): -4.35 eV/f.u.

# 3
Material: Tb3TmIr3
Method: DFT, PBE
State: optimized geometry

Geometry as POSCAR:
```
Tb3TmIr3
1.0
4.8192 2.7824 1.9851
-4.8192 2.7824 1.9851
0.0000 -5.5648 1.9851
Tb Tm Ir
3 1 3
Cartesian
-2.4096 -1.3912 1.9851
-2.4096 1.3912 3.9701
0.0000 2.7824 1.9850
0.0000 0.0000 0.0000
-4.8192 0.0000 2.9776
-2.4096 1.3912 0.9925
2.4096 1.3912 0.9925
```

## Properties
* symmetry: R-3m
* M_tot: 0.000 μB/f.u.
* uncorrected energy: -7.1487 eV per atom
* excess energy over the best structure of this formula in the dataset: 0 meV per atom
* ΔE_f: -0.73 eV per atom

# 4
Material: LiPaRh4
Method: DFT, PBE
State: optimized geometry

Geometry as POSCAR:
```
LiPaRh4
1.0
0.0000 3.6918 3.6918
3.6918 0.0000 3.6918
3.6918 3.6918 0.0000
Li Pa Rh
1 1 4
Cartesian
0.0000 0.0000 0.0000
1.8459 1.8459 1.8459
4.6201 2.7634 2.7634
2.7634 4.6201 2.7634
2.7634 2.7634 4.6201
4.6201 4.6201 4.6201
```

## Properties
* symmetry: F-43m
* M_tot: 0.000 μB/f.u.
* uncorrected energy: -7.2870 eV per atom
* excess energy over the best structure of this formula in the dataset: 0 meV per atom
* ΔE_f: -0.48 eV per atom

Number 1: density of states at the Fermi level 5.1 states/eV/f.u., volume 27.74 Å³ per atom. Number 2: density of states at the Fermi level 1.6 states/eV/f.u., volume 19.70 Å³ per atom. Number 3: density of states at the Fermi level 6.0 states/eV/f.u., volume 22.81 Å³ per atom. Number 4: density of states at the Fermi level 4.5 states/eV/f.u., volume 16.77 Å³ per atom.